Entry 1:
{
  "formula": "PmTm2Se",
  "functional": "PBE",
  "state": "relaxed",
  "lattice": [[-3.273, -0.908, 1.576], [-2.717, -1.527, -2.075], [1.358, -9.470, 1.813]],
  "species": ["Pm", "Tm", "Tm", "Se"],
  "fractional_positions": [[0.500, 0.500, 0.501], [0.269, 0.269, 0.194], [0.065, 0.065, 0.805], [0.667, 0.667, 0.000]],
  "e_above_lowest_polymorph_ev_per_atom": 0.000,
  "spacegroup": "R3m"
}


Entry 2:
{
  "formula": "Pm2Tm2Se5",
  "functional": "PBE",
  "state": "relaxed",
  "lattice": [[-4.082, 6.382, -3.157], [-0.186, -3.238, -6.305], [-5.613, -5.433, 6.943]],
  "species": ["Pm", "Pm", "Pm", "Pm", "Tm", "Tm", "Tm", "Tm", "Se", "Se", "Se", "Se", "Se", "Se", "Se", "Se", "Se", "Se"],
  "fractional_positions": [[0.838, 0.420, 0.813], [0.524, 0.107, 0.187], [0.476, 0.920, 0.813], [0.162, 0.607, 0.187], [0.147, 0.292, 0.500], [0.853, 0.792, 0.500], [0.000, 0.978, 0.000], [0.500, 0.478, 0.000], [0.749, 0.760, 0.707], [0.258, 0.743, 0.936], [0.458, 0.260, 0.707], [0.173, 0.676, 0.500], [0.542, 0.553, 0.293], [0.251, 0.053, 0.293], [0.827, 0.176, 0.500], [0.742, 0.807, 0.064], [0.178, 0.243, 0.936], [0.822, 0.307, 0.064]],
  "e_above_lowest_polymorph_ev_per_atom": 0.091,
  "spacegroup": "Ima2"
}


Entry 3:
{
  "formula": "PmTmSe",
  "functional": "PBE",
  "state": "relaxed",
  "lattice": [[-6.234, -4.235, -0.156], [3.630, -5.019, -8.799], [0.114, -0.420, 6.866]],
  "species": ["Pm", "Pm", "Pm", "Pm", "Se", "Se", "Se", "Se", "Tm", "Tm", "Tm", "Tm"],
  "fractional_positions": [[0.000, 0.800, 0.599], [0.000, 0.200, 0.401], [0.500, 0.700, 0.401], [0.500, 0.300, 0.599], [0.194, 0.434, 0.000], [0.806, 0.566, 0.000], [0.306, 0.934, 0.000], [0.694, 0.066, 0.000], [0.667, 0.800, 0.000], [0.833, 0.300, 0.000], [0.333, 0.200, 0.000], [0.167, 0.700, 0.000]],
  "e_above_lowest_polymorph_ev_per_atom": 0.117,
  "spacegroup": "Cmce"
}